(1)
First-principles (PBE) data for a relaxed Sc2InAgBr crystal, as listed in the Alexandria database.

Results
ρ = 5.16 g/cm³
Formation energy from raw total energies = 65 meV/atom
Space-group type = P4/mmm
V = 126 Å³/f.u.

abc: 4.987 5.081 4.987
angles: 90.00 90.00 90.00
Positions (direct):
Sc 0.000 0.000 0.500
Sc 0.500 0.000 0.000
Br 0.000 0.000 0.000
Ag 0.000 0.500 0.000
In 0.500 0.500 0.500


(2)
First-principles (PBE) data for a relaxed InAgSeBr2 crystal, as listed in the Alexandria database.

Results
ρ = 5.00 g/cm³
Formation energy from raw total energies = -63 meV/atom
Space-group type = P4/mmm
V = 153 Å³/f.u.
E above lowest polymorph = 0.000 eV/atom

abc: 5.451 5.451 5.161
angles: 90.00 90.00 90.00
Positions (direct):
Se 0.000 0.000 0.500
Br 0.000 0.500 0.000
Br 0.500 0.000 0.000
Ag 0.000 0.000 0.000
In 0.500 0.500 0.500